# 1
Entry from Alexandria: KDy4HoSe8 after structural relaxation (PBE).

Calculated values
Its density of states at the Fermi level is 0.000 states/eV/f.u. The uncorrected formation energy comes out at -1.748 eV per atom. The space group is R3m.

Cell: 8.5813 8.5813 8.5673 Å, 59.95 59.95 60.00°
Closest atoms and distances in Å follow each position.
Fractional coordinates of all 14 atoms:
Dy 0.0048 0.0048 0.5048  6 Se 2.79-3.01
Dy 0.0048 0.4855 0.5048  6 Se 2.79-3.01
Dy 0.4855 0.0048 0.5048  6 Se 2.79-3.01
Dy 0.6249 0.6249 0.1253  4 Se 2.78-2.79
K 0.3755 0.3755 0.8736  4 Se 2.95
Se 0.2339 0.2339 0.7358  1 Ho 2.78, 2 Dy 2.79, 1 K 2.95
Se 0.2270 0.7581 0.2569  3 Dy 2.79-3.01, 1 Ho 3.00
Se 0.7581 0.2270 0.2569  3 Dy 2.79-3.01, 1 Ho 3.00
Se 0.7581 0.7581 0.2569  3 Dy 2.79-3.01, 1 Ho 3.00
Se 0.7575 0.7575 0.7274  4 Dy 2.78-3.01
Se 0.7964 0.2339 0.7358  1 Ho 2.78, 2 Dy 2.79, 1 K 2.95
Se 0.2339 0.7964 0.7358  1 Ho 2.78, 2 Dy 2.79, 1 K 2.95
Se 0.2348 0.2348 0.2957  3 Dy 2.79, 1 K 2.95
Ho 0.0048 0.0048 0.9856  6 Se 2.78-3.00

=====

# 2
Entry from Alexandria: TiFe3Cu after structural relaxation (PBE).

Calculated values
Its density of states at the Fermi level is 6.031 states/eV/f.u. The value obtained for the distance to the lowest polymorph of the same formula is 0 meV per atom. The space group is Pm-3m.

Cell: 4.3436 4.3436 4.3436 Å, 90.00 90.00 90.00°
Closest atoms and distances in Å follow each position.
Fractional coordinates of all 5 atoms:
Fe 0.0000 0.5000 0.0000  2 Cu 2.17
Fe 0.5000 0.0000 0.0000  2 Cu 2.17
Fe 0.0000 0.0000 0.5000  2 Cu 2.17
Ti 0.5000 0.5000 0.5000  12 Fe 3.07
Cu 0.0000 0.0000 0.0000  6 Fe 2.17

=====

# 3
Entry from Alexandria: CeTh2Cr after structural relaxation (PBE).

Calculated values
Its density of states at the Fermi level is 6.562 states/eV/f.u. The space group is P4/mmm. The calculation puts the uncorrected energy at -7.344 eV/atom.

Cell: 3.5098 3.5098 8.0757 Å, 90.00 90.00 90.00°
Closest atoms and distances in Å follow each position.
Fractional coordinates of all 4 atoms:
Cr 0.5000 0.5000 0.0000  8 Th 3.03
Ce 0.5000 0.5000 0.5000  8 Th 3.39, 4 Ce 3.51
Th 0.0000 0.0000 0.2142  4 Cr 3.03
Th 0.0000 0.0000 0.7858  4 Cr 3.03

=====

# 4
Entry from Alexandria: Pm2Ho3Ni2 after structural relaxation (PBE).

Calculated values
Its density of states at the Fermi level is 8.990 states/eV/f.u. The space group is C2/m. The calculation puts the uncorrected energy at -5.214 eV/atom.

Cell: 3.6093 6.3999 9.0342 Å, 115.79 90.00 106.38°
Closest atoms and distances in Å follow each position.
Fractional coordinates of all 7 atoms:
Ho 0.3832 0.7664 0.5672  3 Ni 2.78-2.93
Ho 0.6168 0.2336 0.4328  3 Ni 2.78-2.93
Ho 0.5000 0.0000 0.0000  4 Ni 2.86
Pm 0.8353 0.6706 0.1903  2 Ni 2.91
Pm 0.1647 0.3294 0.8097  2 Ni 2.91
Ni 0.8310 0.6620 0.7599  5 Ho 2.78-2.93, 2 Pm 2.91
Ni 0.1690 0.3380 0.2401  5 Ho 2.78-2.93, 2 Pm 2.91

=====

# 5
Entry from Alexandria: LaSnIr2 after structural relaxation (PBE).

Calculated values
Its density of states at the Fermi level is 3.273 states/eV/f.u. The space group is I-42d. The calculation puts the uncorrected energy at -6.702 eV/atom.

Cell: 7.4623 7.4623 6.1710 Å, 52.80 52.80 90.00°
Closest atoms and distances in Å follow each position.
Fractional coordinates of all 8 atoms:
La 0.7500 0.2500 0.5000  4 Ir 2.90, 2 Sn 3.20
La 0.0000 0.0000 0.0000  4 Ir 2.90, 2 Sn 3.20
Ir 0.5979 0.1250 0.2500  2 Sn 2.62, 2 La 2.90
Ir 0.8750 0.8479 0.7500  2 Sn 2.62, 2 La 2.90
Ir 0.1521 0.6250 0.2500  2 Sn 2.62, 2 La 2.90
Ir 0.3750 0.4021 0.7500  2 Sn 2.62, 2 La 2.90
Sn 0.2500 0.7500 0.5000  4 Ir 2.62
Sn 0.5000 0.5000 0.0000  4 Ir 2.62

=====

# 6
Entry from Alexandria: NaMnTlS2 after structural relaxation (PBE).

Calculated values
Its density of states at the Fermi level is 0.009 states/eV/f.u. The uncorrected formation energy comes out at -0.529 eV per atom. The space group is Cmme.

Cell: 6.1528 7.3976 6.8044 Å, 90.00 90.00 114.57°
Closest atoms and distances in Å follow each position.
Fractional coordinates of all 10 atoms:
S 0.3936 0.7872 0.8193  2 Mn 2.43, 1 Na 2.60
S 0.8936 0.7872 0.1807  2 Mn 2.43, 1 Na 2.60
S 0.1064 0.2128 0.8193  2 Mn 2.43, 1 Na 2.60
S 0.6064 0.2128 0.1807  2 Mn 2.43, 1 Na 2.60
Tl 0.2500 0.5000 0.1635  2 S 3.04
Tl 0.7500 0.5000 0.8365  2 S 3.04
Na 0.5000 0.0000 0.5000  2 S 2.60
Na 0.0000 0.0000 0.5000  2 S 2.60
Mn 0.7500 0.0000 0.0000  4 S 2.43
Mn 0.2500 0.0000 0.0000  4 S 2.43

=====

# 7
Entry from Alexandria: Ti2NbAu2 after structural relaxation (PBE).

Calculated values
Its density of states at the Fermi level is 4.144 states/eV/f.u. The value obtained for the distance to the lowest polymorph of the same formula is 116 meV per atom. The space group is P4/mbm.

Cell: 7.4996 7.4996 3.1609 Å, 90.00 90.00 90.00°
Closest atoms and distances in Å follow each position.
Fractional coordinates of all 10 atoms:
Au 0.3612 0.1388 0.5000  6 Ti 2.66-2.75, 1 Au 2.94
Au 0.8612 0.3612 0.5000  6 Ti 2.66-2.75, 1 Au 2.94
Au 0.1388 0.6388 0.5000  6 Ti 2.66-2.75, 1 Au 2.94
Au 0.6388 0.8612 0.5000  6 Ti 2.66-2.75, 1 Au 2.94
Ti 0.3401 0.8401 0.0000  6 Au 2.66-2.75, 2 Nb 2.82
Ti 0.8401 0.6599 0.0000  6 Au 2.66-2.75, 2 Nb 2.82
Ti 0.6599 0.1599 0.0000  6 Au 2.66-2.75, 2 Nb 2.82
Ti 0.1599 0.3401 0.0000  6 Au 2.66-2.75, 2 Nb 2.82
Nb 0.5000 0.5000 0.0000  4 Ti 2.82
Nb 0.0000 0.0000 0.0000  4 Ti 2.82

=====

# 8
Entry from Alexandria: Mg3AgH after structural relaxation (PBE).

Calculated values
Its density of states at the Fermi level is 1.757 states/eV/f.u. The value obtained for the distance to the lowest polymorph of the same formula is 0 meV per atom. The space group is Pm-3m.

Cell: 4.3449 4.3449 4.3449 Å, 90.00 90.00 90.00°
Closest atoms and distances in Å follow each position.
Fractional coordinates of all 5 atoms:
Mg 0.5000 0.0000 0.0000  2 H 2.17
Mg 0.0000 0.0000 0.5000  2 H 2.17
Mg 0.0000 0.5000 0.0000  2 H 2.17
Ag 0.5000 0.5000 0.5000  12 Mg 3.07
H 0.0000 0.0000 0.0000  6 Mg 2.17

=====

# 9
Entry from Alexandria: Np5Cr2S12 after structural relaxation (PBE).

Calculated values
Its density of states at the Fermi level is 42.412 states/eV/f.u. The uncorrected formation energy comes out at -1.058 eV per atom. The space group is C2/m.

Cell: 7.4079 7.6208 9.3786 Å, 105.85 90.00 119.08°
Closest atoms and distances in Å follow each position.
Fractional coordinates of all 19 atoms:
Cr 0.7475 0.0000 0.0000  6 S 2.39-2.53
Cr 0.2525 0.0000 0.0000  6 S 2.39-2.53
S 0.6180 0.7147 0.4581  3 Np 2.54-2.80
S 0.4709 0.9419 0.1600  2 Cr 2.48, 1 Np 2.76
S 0.9223 0.3626 0.1525  1 Cr 2.39, 1 Np 2.65
S 0.4403 0.3626 0.1525  1 Cr 2.39, 1 Np 2.65
S 0.0777 0.6374 0.8475  1 Cr 2.39, 1 Np 2.65
S 0.5291 0.0581 0.8400  2 Cr 2.48, 1 Np 2.76
S 0.9565 0.9130 0.1532  2 Cr 2.53, 1 Np 2.78
S 0.3820 0.2853 0.5419  3 Np 2.54-2.80
S 0.9034 0.2853 0.5419  3 Np 2.54-2.80
S 0.0966 0.7147 0.4581  3 Np 2.54-2.80
S 0.0435 0.0870 0.8468  2 Cr 2.53, 1 Np 2.78
S 0.5597 0.6374 0.8475  1 Cr 2.39, 1 Np 2.65
Np 0.0000 0.0000 0.5000  4 S 2.54
Np 0.7445 0.4891 0.9817  6 S 2.65-2.78
Np 0.2555 0.5109 0.0183  6 S 2.65-2.78
Np 0.3142 0.6284 0.6253  7 S 2.66-2.94
Np 0.6858 0.3716 0.3747  7 S 2.66-2.94

=====

# 10
Entry from Alexandria: TbNi3B3 after structural relaxation (PBE).

Calculated values
Its density of states at the Fermi level is 3.405 states/eV/f.u. The space group is P2_1/m. The calculation puts the uncorrected energy at -6.218 eV/atom.

Cell: 3.1558 7.3729 7.6593 Å, 95.29 90.00 90.00°
Closest atoms and distances in Å follow each position.
Fractional coordinates of all 14 atoms:
Ni 0.7500 0.6933 0.9278  3 B 1.99-2.01
Ni 0.7500 0.8392 0.6252  4 B 1.97-2.10
Ni 0.2500 0.1608 0.3748  4 B 1.97-2.10
Ni 0.7500 0.3963 0.3094  4 B 1.97-2.04
Ni 0.2500 0.6037 0.6906  4 B 1.97-2.04
Ni 0.2500 0.3067 0.0722  3 B 1.99-2.01
B 0.2500 0.9843 0.5524  2 B 1.80, 1 Ni 1.97
B 0.2500 0.5270 0.9397  2 B 1.89, 4 Ni 1.99-2.04
B 0.7500 0.4730 0.0603  2 B 1.89, 4 Ni 1.99-2.04
B 0.7500 0.0157 0.4476  2 B 1.80, 1 Ni 1.97
B 0.2500 0.4355 0.4746  2 B 1.87, 3 Ni 1.97-2.03
B 0.7500 0.5645 0.5254  2 B 1.87, 3 Ni 1.97-2.03
Tb 0.2500 0.7313 0.2695  9 B 2.73-2.88, 4 Ni 2.97-3.05
Tb 0.7500 0.2687 0.7305  9 B 2.73-2.88, 4 Ni 2.97-3.05

=====

# 11
Entry from Alexandria: FeTeH3 after structural relaxation (PBE).

Calculated values
Its density of states at the Fermi level is 5.157 states/eV/f.u. The value obtained for the distance to the lowest polymorph of the same formula is 604 meV per atom. The space group is Pm-3m.

Cell: 3.9705 3.9705 3.9705 Å, 90.00 90.00 90.00°
Closest atoms and distances in Å follow each position.
Fractional coordinates of all 5 atoms:
H 0.0000 0.5000 0.0000  2 Te 1.99
H 0.5000 0.0000 0.0000  2 Te 1.99
H 0.0000 0.0000 0.5000  2 Te 1.99
Fe 0.5000 0.5000 0.5000  12 H 2.81
Te 0.0000 0.0000 0.0000  6 H 1.99